Entry 1:
Density functional theory data (PBE-GGA) for a relaxed CoCl3 crystal.

Summary:
SG: No. 139
Crystal system: tetragonal
Uncorrected energy, eV/atom: -2.719
Size of the total moment, μB per formula unit: 2.4

POSCAR file:
```
CoCl3
1.0
-1.8275 1.8275 6.0356
1.8275 -1.8275 6.0356
1.8275 1.8275 -6.0356
Cl Co
3 1
Cartesian
0.0000 0.0000 6.0356
0.0000 1.8275 3.0178
1.8275 0.0000 3.0178
0.0000 0.0000 0.0000
```



Entry 2:
Density functional theory data (PBE-GGA) for a relaxed CoCl2 crystal.

Summary:
SG: No. 65
Crystal system: orthorhombic
Uncorrected energy, eV/atom: -3.737
Size of the total moment, μB per formula unit: 3.0

POSCAR file:
```
CoCl2
1.0
1.5393 -6.5752 0.0000
1.5393 6.5752 0.0000
0.0000 0.0000 3.0785
Cl Co
2 1
Cartesian
1.5393 -1.4742 1.5393
1.5393 1.4742 1.5393
0.0000 0.0000 0.0000
```



Entry 3:
Density functional theory data (PBE-GGA) for a relaxed Co3Cl crystal.

Summary:
SG: No. 194
Relative energy among the computed polymorphs, meV per atom: 0
Crystal system: hexagonal
Size of the total moment, μB per formula unit: 5.6

POSCAR file:
```
Co3Cl
1.0
-4.7005 0.6459 3.4645
-0.6815 -0.4890 -5.8147
-0.2663 -3.8355 0.3538
Cl Co
2 6
Cartesian
-3.4274 -0.6913 0.4598
-2.2209 -2.9873 -2.4563
-0.9001 -1.0045 -1.0340
-1.3006 -1.2918 -4.4507
-4.0626 -0.9123 -2.4150
-1.5857 -2.7663 0.4185
-4.3477 -2.3868 2.4542
-4.7482 -2.6741 -0.9625
```



Entry 4:
Density functional theory data (PBE-GGA) for a relaxed CoCl2 crystal.

Summary:
SG: No. 217
Crystal system: cubic
Uncorrected energy, eV/atom: -4.161
Size of the total moment, μB per formula unit: 3.0

POSCAR file:
```
CoCl2
1.0
-5.1856 -7.3458 1.4320
3.5059 2.8294 7.9124
-5.0739 6.6383 -3.6182
Cl Co
12 6
Cartesian
-2.1869 -4.1375 4.9244
0.1088 -1.4500 6.6360
-4.2070 -3.0447 2.1246
0.0216 1.9057 5.2774
-2.2026 -0.5658 3.8426
-6.3610 -2.2844 -0.6854
0.1632 5.3535 4.1790
-4.3421 0.3840 0.9673
-2.1748 2.9214 2.5832
-4.1526 3.7588 -0.3324
-6.3315 1.4091 -2.0193
-2.1029 6.3595 1.1335
-3.4047 -2.4351 4.1256
-1.2319 0.1087 5.7457
-5.5497 -1.4829 1.2430
-1.2039 3.6048 4.4832
-5.5217 2.0132 -0.0195
-3.3488 4.5570 1.6005
```



Entry 5:
Density functional theory data (PBE-GGA) for a relaxed CoCl3 crystal.

Summary:
SG: No. 162
Crystal system: trigonal
Uncorrected energy, eV/atom: -3.737
Size of the total moment, μB per formula unit: 0.0

POSCAR file:
```
CoCl3
1.0
5.7369 0.0000 0.0000
-2.8684 4.9683 0.0000
0.0000 0.0000 5.9968
Cl Co
6 2
Cartesian
2.0506 0.0000 1.2632
-1.0253 1.7759 1.2632
1.8431 3.1924 1.2632
3.6862 0.0000 4.7336
1.0253 1.7759 4.7336
-1.8431 3.1924 4.7336
2.8684 1.6561 0.0000
0.0000 3.3122 0.0000
```



Entry 6:
Density functional theory data (PBE-GGA) for a relaxed CoCl3 crystal.

Summary:
SG: No. 167
Crystal system: trigonal
Uncorrected energy, eV/atom: -3.550
Size of the total moment, μB per formula unit: 0.0

POSCAR file:
```
CoCl3
1.0
-4.4277 0.2967 -4.2195
-3.9655 -4.4936 -1.2567
-6.0010 0.1675 1.2070
Cl Co
6 2
Cartesian
-5.4891 -1.5994 -3.5684
-7.7218 -3.8668 -3.3347
-5.8313 -3.2747 -0.8336
-8.5631 -0.7547 -3.4356
-6.6725 -0.1627 -0.9345
-8.9052 -2.4300 -0.7008
0.0000 0.0000 0.0000
-7.1972 -2.0147 -2.1346
```



Entry 7:
Density functional theory data (PBE-GGA) for a relaxed Co3Cl crystal.

Summary:
SG: No. 221
Relative energy among the computed polymorphs, meV per atom: 135
Crystal system: cubic
Size of the total moment, μB per formula unit: 5.6

POSCAR file:
```
Co3Cl
1.0
-2.8732 0.0696 -2.3133
0.6693 -3.5051 -0.9368
-2.2155 -1.1493 2.7171
Cl Co
1 3
Cartesian
0.0000 0.0000 0.0000
-1.1020 -1.7178 -1.6251
-2.5444 -0.5398 0.2019
-0.7731 -2.3272 0.8901
```



Entry 8:
Density functional theory data (PBE-GGA) for a relaxed Co3Cl2 crystal.

Summary:
SG: No. 167
Crystal system: trigonal
Uncorrected energy, eV/atom: -4.427
Size of the total moment, μB per formula unit: 5.1

POSCAR file:
```
Co3Cl2
1.0
0.4762 2.7267 5.3405
-2.8727 2.7299 -4.5253
-2.6972 -1.8692 4.5824
Cl Co
4 6
Cartesian
-1.2789 2.4149 2.2686
-0.7918 2.1056 5.7707
-4.3019 1.4818 -0.3731
-3.8148 1.1726 3.1290
-3.4221 2.9388 -2.0355
-2.1154 0.9086 -1.1154
-2.5917 2.9380 0.4112
-2.5020 0.6494 4.9864
-2.9782 2.6789 6.5130
-1.6715 0.6486 7.4331
```



Entry 9:
Density functional theory data (PBE-GGA) for a relaxed Cs2CoCl4 crystal.

Summary:
SG: No. 62
Crystal system: orthorhombic
Uncorrected energy, eV/atom: -3.757
Size of the total moment, μB per formula unit: 3.0

POSCAR file:
```
Cs2CoCl4
1.0
-0.6655 2.1214 9.5488
-7.4163 -0.0097 -0.5147
-0.1784 -12.7037 2.8099
Cl Co Cs
16 4 8
Cartesian
-5.6943 -0.6492 1.5287
-2.2066 -0.1457 4.9529
-0.5875 -0.2655 8.2387
-4.2637 -0.2703 7.9836
-0.2879 -3.6822 3.9854
-3.9640 -3.6870 3.7303
-1.9289 -5.1329 1.0470
-6.0876 -3.9057 7.2580
-2.1725 -6.6863 4.5860
-6.3312 -5.4590 10.7970
-4.2962 -6.9049 8.1137
-7.9723 -6.9098 7.8586
-3.9965 -10.3217 3.8604
-7.6726 -10.3265 3.6053
-6.0536 -10.4462 6.8911
-2.5659 -9.9428 10.3153
-2.3565 0.5361 7.1003
-2.0844 -4.8414 3.2808
-6.1758 -5.7506 8.5633
-5.9037 -11.1280 4.7437
-1.9630 -0.9236 1.4579
-5.9345 -1.1167 4.9995
-5.6293 -4.1335 0.6578
-2.3508 -3.7868 7.1002
-5.9093 -6.8052 4.7438
-2.6309 -6.4584 11.1862
-2.3256 -9.4753 6.8445
-6.2972 -9.6684 10.3861
```



Entry 10:
Density functional theory data (PBE-GGA) for a relaxed CsCo2Cl7 crystal.

Summary:
SG: No. 11
Crystal system: monoclinic
Uncorrected energy, eV/atom: -3.661
Size of the total moment, μB per formula unit: 0.0

POSCAR file:
```
CsCo2Cl7
1.0
6.2209 0.0000 0.0000
0.0000 11.0639 0.0000
-0.4071 0.0000 7.2645
Cl Co Cs
14 4 2
Cartesian
3.4420 2.7660 0.7061
1.7596 5.5520 0.7088
1.7596 11.0439 0.7088
5.3263 8.2979 0.8924
2.6519 8.2979 2.3182
4.4584 5.6226 2.5022
4.4584 10.9732 2.5022
1.3554 0.0907 4.7623
1.3554 5.4413 4.7623
3.1619 2.7660 4.9464
0.4875 2.7660 6.3721
4.0542 0.0200 6.5558
4.0542 5.5119 6.5558
2.3719 8.2979 6.5584
3.5840 6.8409 0.8613
3.5840 9.7550 0.8613
2.2299 1.3089 6.4032
2.2299 4.2230 6.4032
0.2721 2.7660 2.7263
5.5417 8.2979 4.5382
```



Entry 11:
Density functional theory data (PBE-GGA) for a relaxed Cs3Co2Cl9 crystal.

Summary:
SG: No. 194
Crystal system: hexagonal
Uncorrected energy, eV/atom: -3.613
Size of the total moment, μB per formula unit: 0.0

POSCAR file:
```
Cs3Co2Cl9
1.0
7.2435 0.0000 0.0000
-3.6218 6.2731 0.0000
0.0000 0.0000 17.8403
Cl Co Cs
18 4 6
Cartesian
2.0211 1.1669 1.7415
5.2224 1.1669 1.7415
3.6218 3.9393 1.7415
3.6218 0.3165 4.4601
2.0850 2.9783 4.4601
5.1585 2.9783 4.4601
2.0211 1.1669 7.1786
5.2224 1.1669 7.1786
3.6218 3.9393 7.1786
0.0000 2.3338 10.6617
-1.6006 5.1062 10.6617
1.6006 5.1062 10.6617
-1.5367 3.2948 13.3802
1.5368 3.2948 13.3802
0.0000 5.9565 13.3802
0.0000 2.3338 16.0987
-1.6006 5.1062 16.0987
1.6006 5.1062 16.0987
3.6218 2.0910 2.9870
3.6218 2.0910 5.9331
0.0000 4.1821 11.9072
0.0000 4.1821 14.8532
0.0000 4.1821 1.3045
0.0000 0.0000 4.4601
0.0000 4.1821 7.6156
3.6218 2.0910 10.2246
0.0000 0.0000 13.3802
3.6218 2.0910 16.5358
```



Entry 12:
Density functional theory data (PBE-GGA) for a relaxed Cs3CoCl6 crystal.

Summary:
SG: No. 225
Crystal system: cubic
Uncorrected energy, eV/atom: -3.481
Size of the total moment, μB per formula unit: 0.0

POSCAR file:
```
Cs3CoCl6
1.0
-6.4455 0.0874 4.1979
-3.8708 6.5769 0.9679
-6.8122 0.9946 -3.4321
Cl Co Cs
6 1 3
Cartesian
-7.3263 1.6431 2.8131
-5.8220 5.4347 0.9259
-9.5879 5.4858 3.3786
-7.5406 2.1731 -1.6449
-11.3065 2.2242 0.8078
-9.8022 6.0158 -1.0793
0.0000 0.0000 0.0000
-4.2821 1.9147 0.4334
-8.5643 3.8294 0.8669
-12.8464 5.7442 1.3003
```



Entry 13:
Density functional theory data (PBE-GGA) for a relaxed Cs3CoCl5 crystal.

Summary:
SG: No. 140
Crystal system: tetragonal
Uncorrected energy, eV/atom: -3.656
Size of the total moment, μB per formula unit: 3.0

POSCAR file:
```
Cs3CoCl5
1.0
9.2004 0.0000 0.0000
0.0000 9.2004 0.0000
-4.6002 -4.6002 7.2490
Cl Co Cs
10 2 6
Cartesian
0.0000 0.0000 0.0000
4.6002 4.6002 0.0000
5.8882 -1.2880 2.2951
3.3122 1.2880 2.2951
-1.2880 3.3122 2.2951
1.2880 5.8882 2.2951
3.3122 -1.2880 4.9539
5.8882 1.2880 4.9539
1.2880 3.3122 4.9539
-1.2880 5.8882 4.9539
4.6002 0.0000 3.6245
0.0000 4.6002 3.6245
6.1081 1.5078 0.0000
1.5078 3.0924 0.0000
7.6926 6.1081 0.0000
3.0924 7.6926 0.0000
0.0000 0.0000 3.6245
4.6002 4.6002 3.6245
```



Entry 14:
Density functional theory data (PBE-GGA) for a relaxed Cs2DyCoCl6 crystal.

Summary:
SG: No. 139
Crystal system: tetragonal
Uncorrected energy, eV/atom: -4.159
Size of the total moment, μB per formula unit: 2.0

POSCAR file:
```
Cs2DyCoCl6
1.0
2.0787 -2.3091 6.6296
5.4863 4.8478 -0.0650
-6.8783 2.2638 -1.0810
Cl Co Cs Dy
6 1 2 1
Cartesian
2.9474 -0.4846 4.9229
1.9371 0.6501 1.6810
5.6278 1.8886 4.8836
4.6176 3.0232 1.6417
2.2651 3.0010 4.3612
-1.5785 1.8014 1.1224
3.7825 1.2693 3.2823
-0.5086 0.6120 4.4154
1.1952 4.1904 1.0681
0.0000 0.0000 0.0000
```



Entry 15:
Density functional theory data (PBE-GGA) for a relaxed Cs2CoHgCl6 crystal.

Summary:
SG: No. 225
Crystal system: cubic
Uncorrected energy, eV/atom: -3.130
Size of the total moment, μB per formula unit: 3.0

POSCAR file:
```
Cs2CoHgCl6
1.0
0.0000 5.1615 5.1615
5.1615 0.0000 5.1615
5.1615 5.1615 0.0000
Cl Co Cs Hg
6 1 2 1
Cartesian
5.1615 2.4454 5.1615
5.1615 5.1615 7.8776
2.4454 5.1615 5.1615
5.1615 7.8776 5.1615
5.1615 5.1615 2.4454
7.8776 5.1615 5.1615
0.0000 0.0000 0.0000
2.5808 2.5808 2.5808
7.7423 7.7423 7.7423
5.1615 5.1615 5.1615
```



Entry 16:
Density functional theory data (PBE-GGA) for a relaxed K2CoCuCl6 crystal.

Summary:
SG: No. 12
Crystal system: monoclinic
Uncorrected energy, eV/atom: -3.489
Size of the total moment, μB per formula unit: 1.9

POSCAR file:
```
K2CoCuCl6
1.0
-2.5524 -0.3786 -6.3150
-6.1761 -2.7090 -1.0266
0.5953 6.0570 3.0770
Cl Co Cu K
6 1 1 2
Cartesian
-3.2928 0.5372 -4.2544
-5.1337 -0.6466 -1.5679
-2.0009 0.7364 -1.0466
-6.1323 2.2331 -3.2180
-2.9995 3.6160 -2.6967
-4.8403 2.4322 -0.0102
0.0000 0.0000 0.0000
-4.0666 1.4847 -2.1323
-6.3967 -0.8016 -4.7364
-1.7364 3.7710 0.4719
```



Entry 17:
Density functional theory data (PBE-GGA) for a relaxed DyCoCl6 crystal.

Summary:
SG: No. 5
Crystal system: monoclinic
Uncorrected energy, eV/atom: -4.226
Size of the total moment, μB per formula unit: 0.0

POSCAR file:
```
DyCoCl6
1.0
3.1703 -5.4751 0.0000
3.1703 5.4751 0.0000
-2.1367 0.0000 5.9954
Cl Co Dy
6 1 1
Cartesian
4.5026 1.8209 1.3395
4.0816 -2.0677 1.3636
0.8965 0.2446 1.3741
3.3075 0.2446 4.6212
0.1224 -2.0677 4.6318
-0.2986 1.8209 4.6558
3.1703 -3.6521 0.0000
3.1703 3.6566 0.0000
```



Entry 18:
Density functional theory data (PBE-GGA) for a relaxed DyCoCl crystal.

Summary:
SG: No. 166
Crystal system: trigonal
Uncorrected energy, eV/atom: -5.706
Size of the total moment, μB per formula unit: 0.2

POSCAR file:
```
DyCoCl
1.0
-7.5273 0.0707 8.1771
-4.3362 -0.7129 10.2088
-5.2313 2.9466 9.3532
Cl Co Dy
2 2 2
Cartesian
-4.7321 0.6379 7.6787
-12.3626 1.6665 20.0604
-2.8108 0.3789 4.5610
-14.2840 1.9255 23.1782
-7.5680 1.0202 12.2804
-9.5267 1.2842 15.4587
```



Entry 19:
Density functional theory data (PBE-GGA) for a relaxed ErCoCl6 crystal.

Summary:
SG: No. 5
Crystal system: monoclinic
Uncorrected energy, eV/atom: -4.224
Size of the total moment, μB per formula unit: 0.0

POSCAR file:
```
ErCoCl6
1.0
3.1567 -5.4622 0.0000
3.1567 5.4622 0.0000
-2.1072 0.0000 5.9728
Cl Co Er
6 1 1
Cartesian
4.4783 -1.8226 1.3366
4.0780 2.0547 1.3579
0.9046 -0.2309 1.3619
3.3017 -0.2309 4.6109
0.1283 2.0547 4.6150
-0.2720 -1.8226 4.6362
3.1567 3.6414 0.0000
3.1567 -3.6439 0.0000
```



Entry 20:
Density functional theory data (PBE-GGA) for a relaxed Gd6CoCl10 crystal.

Summary:
SG: No. 2
Crystal system: triclinic
Uncorrected energy, eV/atom: -5.004
Size of the total moment, μB per formula unit: 1.0

POSCAR file:
```
Gd6CoCl10
1.0
-1.9009 -0.0160 -6.8721
1.4065 -8.3566 2.2914
-7.7291 2.8322 3.2761
Cl Co Gd
10 1 6
Cartesian
-0.2714 -6.6913 -0.9347
-2.0989 -4.8037 -4.2586
-2.2313 -3.1232 -0.5130
-3.9199 -1.2007 -3.7466
-3.8943 0.6077 -0.0329
-4.3292 -6.1481 -1.2717
-4.3036 -4.3397 2.4420
-5.9922 -2.4172 -0.7916
-6.1246 -0.7367 2.9540
-7.9522 1.1509 -0.3698
0.0000 0.0000 0.0000
-2.2211 -2.2661 -5.6818
-2.0224 -0.6949 -1.5892
-2.2194 -7.2446 -2.9639
-6.0041 1.7042 1.6594
-6.2011 -4.8455 0.2846
-6.0024 -3.2743 4.3772
```



Entry 21:
Density functional theory data (PBE-GGA) for a relaxed GdYCo2Cl2 crystal.

Summary:
SG: No. 156
Crystal system: trigonal
Uncorrected energy, eV/atom: -6.015
Size of the total moment, μB per formula unit: 0.5

POSCAR file:
```
GdYCo2Cl2
1.0
3.8815 0.0000 0.0000
-1.9407 3.3614 0.0000
0.0000 0.0000 10.7402
Cl Co Gd Y
2 2 1 1
Cartesian
0.0000 2.2410 1.7126
1.9407 1.1205 9.0047
1.9407 1.1205 5.3017
0.0000 2.2410 5.4569
0.0000 0.0000 3.4720
0.0000 0.0000 7.2728
```